[1]
Below is a geometry-optimized SmHo4Sc3 structure, with properties calculated at the PBE level.

The structure in POSCAR format:
```
SmHo4Sc3
1.0
10.906 0.000 0.000
0.000 7.031 0.000
0.000 0.000 6.056
Sm Ho Sc
2 8 6
direct
0.000 0.119 0.000
0.500 0.881 0.500
0.000 0.370 0.504
0.000 0.631 0.010
0.246 0.631 0.665
0.254 0.369 0.165
0.500 0.369 0.510
0.500 0.630 0.004
0.746 0.369 0.165
0.754 0.631 0.665
0.000 0.878 0.499
0.249 0.120 0.670
0.251 0.880 0.170
0.500 0.122 0.999
0.749 0.880 0.170
0.751 0.120 0.670
```

Properties
offset from the most stable computed form = 0 meV per atom
crystal system = orthorhombic
ΔH_f (0 K) = 0.03 eV per atom

[2]
Below is a geometry-optimized Tm4HPb5 structure, with properties calculated at the PBE level.

The structure in POSCAR format:
```
Tm4HPb5
1.0
9.351 -1.775 0.000
9.351 1.775 0.000
-0.298 0.000 8.101
Tm H Pb
4 1 5
direct
0.044 0.044 0.181
0.383 0.383 0.138
0.617 0.617 0.862
0.956 0.956 0.819
0.500 0.500 0.000
0.156 0.156 0.536
0.211 0.211 0.162
0.500 0.500 0.500
0.789 0.789 0.838
0.844 0.844 0.464
```

Properties
crystal system = monoclinic

[3]
Below is a geometry-optimized MnAsPBr2 structure, with properties calculated at the PBE level.

The structure in POSCAR format:
```
MnAsPBr2
1.0
4.864 0.000 0.000
0.000 4.864 0.000
0.000 0.000 5.408
Mn As P Br
1 1 1 2
direct
0.000 0.000 0.000
0.000 0.000 0.500
0.500 0.500 0.500
0.000 0.500 0.000
0.500 0.000 0.000
```

Properties
uncorrected formation energy = 2.7 eV/f.u.
offset from the most stable computed form = 0 meV per atom
crystal system = tetragonal

[4]
Below is a geometry-optimized ZrAgSb2Pb structure, with properties calculated at the PBE level.

The structure in POSCAR format:
```
ZrAgSb2Pb
1.0
5.508 0.000 0.000
0.000 5.508 0.000
0.000 0.000 5.425
Zr Ag Sb Pb
1 1 2 1
direct
0.000 0.000 0.000
0.000 0.000 0.500
0.000 0.500 0.000
0.500 0.000 0.000
0.500 0.500 0.500
```

Properties
uncorrected formation energy = 1.8 eV/f.u.
crystal system = tetragonal

[5]
Below is a geometry-optimized PmHo2MoN4 structure, with properties calculated at the PBE level.

The structure in POSCAR format:
```
PmHo2MoN4
1.0
1.709 -5.869 0.000
1.709 5.869 0.000
0.000 0.000 11.792
Pm Ho Mo N
2 4 2 8
direct
0.101 0.899 0.750
0.899 0.101 0.250
0.370 0.630 0.539
0.370 0.630 0.961
0.630 0.370 0.039
0.630 0.370 0.461
0.159 0.841 0.250
0.841 0.159 0.750
0.000 0.000 0.000
0.000 0.000 0.500
0.263 0.737 0.123
0.263 0.737 0.377
0.444 0.556 0.750
0.556 0.444 0.250
0.737 0.263 0.623
0.737 0.263 0.877
```

Properties
uncorrected formation energy = -9.2 eV/f.u.
crystal system = orthorhombic

[6]
Below is a geometry-optimized Ag2WCl structure, with properties calculated at the PBE level.

The structure in POSCAR format:
```
Ag2WCl
1.0
2.908 0.000 0.000
0.000 2.908 0.000
0.000 0.000 9.029
Ag W Cl
2 1 1
direct
0.000 0.000 0.000
0.500 0.500 0.232
0.500 0.500 0.774
0.000 0.000 0.599
```

Properties
uncorrected formation energy = 1.8 eV/f.u.
offset from the most stable computed form = 86 meV per atom
crystal system = tetragonal

no.,total magnetization (μB/cell),uncorrected energy (eV per atom)
1,0.0,-5.2255
2,0.0,-4.1874
3,5.0,-3.9782
4,0.0,-4.3187
5,0.0,-8.4095
6,0.2,-4.6730